# CoP2PbS (PBE, optimized geometry)
data_CoP2PbS
_chemical_formula_sum 'Co1 P2 Pb1 S1'
_symmetry_space_group_name_H-M 'P 4/m m m'
_symmetry_Int_Tables_number 123
_symmetry_space_group_name_Hall '-P 4 2'
_cell_length_a 5.2978
_cell_length_b 5.2978
_cell_length_c 5.1274
_cell_angle_alpha 90.00
_cell_angle_beta 90.00
_cell_angle_gamma 90.00
loop_
_atom_site_label
_atom_site_fract_x
_atom_site_fract_y
_atom_site_fract_z
Co1 0.0000 0.0000 0.0000
P1 0.0000 0.5000 0.5000
Pb1 0.5000 0.5000 0.5000
S1 0.5000 0.5000 0.0000
# Uncorrected formation energy in meV per atom: 1736
# Excess energy over the best structure of this formula in the dataset in eV/atom: 1.464
# Calculated volume in Å³/f.u.: 143.9
# Size of the total moment in μB/f.u.: 2.95

=====

# Y3TlRh (PBE, optimized geometry)
data_Y3TlRh
_chemical_formula_sum 'Y3 Tl1 Rh1'
_symmetry_space_group_name_H-M 'P m -3 m'
_symmetry_Int_Tables_number 221
_symmetry_space_group_name_Hall '-P 4 2 3'
_cell_length_a 5.3451
_cell_length_b 5.3451
_cell_length_c 5.3451
_cell_angle_alpha 90.00
_cell_angle_beta 90.00
_cell_angle_gamma 90.00
loop_
_atom_site_label
_atom_site_fract_x
_atom_site_fract_y
_atom_site_fract_z
Y1 0.0000 0.0000 0.5000
Tl1 0.5000 0.5000 0.5000
Rh1 0.0000 0.0000 0.0000
# Excess energy over the best structure of this formula in the dataset in eV/atom: 0.179
# Calculated volume in Å³/f.u.: 152.7
# Formation energy from the elements in eV/atom: -0.3247
# Size of the total moment in μB/f.u.: 0.00

=====

# BaSrAlHg (PBE, optimized geometry)
data_BaSrAlHg
_chemical_formula_sum 'Ba4 Sr4 Al4 Hg4'
_symmetry_space_group_name_H-M 'F -4 3 m'
_symmetry_Int_Tables_number 216
_symmetry_space_group_name_Hall 'F -4 2 3'
_cell_length_a 8.1872
_cell_length_b 8.1872
_cell_length_c 8.1872
_cell_angle_alpha 90.00
_cell_angle_beta 90.00
_cell_angle_gamma 90.00
loop_
_atom_site_label
_atom_site_fract_x
_atom_site_fract_y
_atom_site_fract_z
Ba1 0.0000 0.0000 0.0000
Sr1 0.0000 0.0000 0.5000
Al1 0.2500 0.2500 0.7500
Hg1 0.2500 0.2500 0.2500
# Calculated volume in Å³/f.u.: 137.2
# Formation energy from the elements in eV/atom: -0.2820
# Size of the total moment in μB/f.u.: 0.00

=====

# Rb3AgF4 (PBE, optimized geometry)
data_Rb3AgF4
_chemical_formula_sum 'Rb6 Ag2 F8'
_symmetry_space_group_name_H-M 'P m n 21'
_symmetry_Int_Tables_number 31
_symmetry_space_group_name_Hall 'P 2ac -2'
_cell_length_a 10.8783
_cell_length_b 5.6795
_cell_length_c 5.6723
_cell_angle_alpha 90.00
_cell_angle_beta 90.00
_cell_angle_gamma 90.00
loop_
_atom_site_label
_atom_site_fract_x
_atom_site_fract_y
_atom_site_fract_z
Rb1 0.0000 0.2504 0.0000
Rb2 0.2500 0.2492 0.5033
Ag1 0.0000 0.7246 0.5271
F1 0.0000 0.2880 0.4957
F2 0.0000 0.7535 0.9643
F3 0.2202 0.7528 0.4998
# Uncorrected formation energy in meV per atom: -2226
# Excess energy over the best structure of this formula in the dataset in eV/atom: 0.000
# Calculated volume in Å³/f.u.: 175.2
# Size of the total moment in μB/f.u.: 0.00

=====

# GePt2N2 (PBE, optimized geometry)
data_GePt2N2
_chemical_formula_sum 'Ge2 Pt4 N4'
_symmetry_space_group_name_H-M 'I 4/m m m'
_symmetry_Int_Tables_number 139
_symmetry_space_group_name_Hall '-I 4 2'
_cell_length_a 4.0237
_cell_length_b 4.0237
_cell_length_c 8.4595
_cell_angle_alpha 90.00
_cell_angle_beta 90.00
_cell_angle_gamma 90.00
loop_
_atom_site_label
_atom_site_fract_x
_atom_site_fract_y
_atom_site_fract_z
Ge1 0.0000 0.0000 0.0000
Pt1 0.0000 0.0000 0.3310
N1 0.0000 0.5000 0.2500
# Uncorrected formation energy in meV per atom: 944
# Excess energy over the best structure of this formula in the dataset in eV/atom: 0.148
# Calculated volume in Å³/f.u.: 68.5
# Size of the total moment in μB/f.u.: 0.00

=====

# KP2AuSe8 (PBE, optimized geometry)
data_KP2AuSe8
_chemical_formula_sum 'K3 P6 Au3 Se24'
_symmetry_space_group_name_H-M 'R -3'
_symmetry_Int_Tables_number 148
_symmetry_space_group_name_Hall '-R 3'
_cell_length_a 5.8760
_cell_length_b 5.8760
_cell_length_c 34.7267
_cell_angle_alpha 90.00
_cell_angle_beta 90.00
_cell_angle_gamma 120.00
loop_
_atom_site_label
_atom_site_fract_x
_atom_site_fract_y
_atom_site_fract_z
K1 0.0000 0.0000 0.0000
P1 0.0000 0.0000 0.2421
Au1 0.0000 0.0000 0.5000
Se1 0.0000 0.0000 0.3041
Se2 0.0119 0.7153 0.1166
# Uncorrected formation energy in meV per atom: -109
# Calculated volume in Å³/f.u.: 346.1
# Size of the total moment in μB/f.u.: 0.00